First-principles (PBE) data for crystalline TiRe2W3 at its relaxed geometry, as listed in Alexandria via LeMat-Bulk.

Calculated values
Its space-group type is C2/m, No. 12. For the formation energy, the calculation gives 0.03 eV per atom. The crystal system is monoclinic.

```
TiRe2W3
1.0
-2.8721 2.7720 -1.8774
-5.1383 -4.1291 1.7640
1.3415 2.2467 6.4469
Re W Ti
4 6 2
Direct
0.5375 0.1981 0.0751 Re
0.2286 0.6546 0.4571 Re
0.4625 0.8019 0.9249 Re
0.7714 0.3454 0.5429 Re
0.6127 0.5701 0.2254 W
0.3071 0.0342 0.6142 W
0.3873 0.4299 0.7746 W
0.9259 0.1210 0.8518 W
0.6929 0.9658 0.3858 W
0.0741 0.8790 0.1482 W
0.8521 0.7187 0.7042 Ti
0.1479 0.2813 0.2958 Ti
```

***

First-principles (PBE) data for crystalline TiRe3W3 at its relaxed geometry, as listed in Alexandria via LeMat-Bulk.

Calculated values
Its space-group type is R3c, No. 161. For the formation energy, the calculation gives 0.40 eV per atom. The crystal system is trigonal.

```
TiRe3W3
1.0
6.1474 0.2732 -1.4773
-1.9330 5.8420 -1.4773
0.1883 0.2732 6.3196
Ti W Re
2 6 6
Direct
0.0763 0.0763 0.0763 Ti
0.5763 0.5763 0.5763 Ti
0.3936 0.9643 0.8088 W
0.3088 0.4643 0.8936 W
0.8936 0.3088 0.4643 W
0.9643 0.8088 0.3936 W
0.8088 0.3936 0.9643 W
0.4643 0.8936 0.3088 W
0.0106 0.6863 0.7761 Re
0.7761 0.0106 0.6863 Re
0.6863 0.7761 0.0106 Re
0.1863 0.5106 0.2761 Re
0.5106 0.2761 0.1863 Re
0.2761 0.1863 0.5106 Re
```